Record 1
# PmNdNb2O8 (PBE-GGA, relaxed)
data_PmNdNb2O8
_symmetry_space_group_name_H-M 'P 1'
_symmetry_Int_Tables_number 1
_cell_length_a 5.367
_cell_length_b 5.367
_cell_length_c 6.888
_cell_angle_alpha 112.93
_cell_angle_beta 112.93
_cell_angle_gamma 90.00
loop_
_symmetry_equiv_pos_as_xyz
'x,y,z'
loop_
_atom_site_label
_atom_site_fract_x
_atom_site_fract_y
_atom_site_fract_z
_atom_site_occupancy
Pm1 0.000 0.000 0.000 1
Nd1 0.750 0.250 0.500 1
Nb1 0.500 0.500 0.000 1
Nb2 0.250 0.750 0.500 1
O1 0.755 0.836 0.174 1
O2 0.419 0.338 0.174 1
O3 0.587 0.673 0.675 1
O4 0.088 0.003 0.675 1
O5 0.997 0.413 0.325 1
O6 0.327 0.912 0.325 1
O7 0.164 0.581 0.826 1
O8 0.662 0.245 0.826 1
# crystal system = tetragonal
# total magnetization = 0.00 μB per cell
# SG = I-4
# calculated total energy = -8.8418 eV/atom

***

Record 2
# Nd2Nb2S7O30 (PBE-GGA, relaxed)
data_Nd2Nb2S7O30
_symmetry_space_group_name_H-M 'P 1'
_symmetry_Int_Tables_number 1
_cell_length_a 7.235
_cell_length_b 13.090
_cell_length_c 13.090
_cell_angle_alpha 90.00
_cell_angle_beta 90.00
_cell_angle_gamma 90.00
loop_
_symmetry_equiv_pos_as_xyz
'x,y,z'
loop_
_atom_site_label
_atom_site_fract_x
_atom_site_fract_y
_atom_site_fract_z
_atom_site_occupancy
Nd1 0.404 0.197 0.303 1
Nd2 0.596 0.303 0.803 1
Nd3 0.404 0.803 0.697 1
Nd4 0.596 0.697 0.197 1
Nb1 0.019 0.363 0.137 1
Nb2 0.981 0.137 0.637 1
Nb3 0.019 0.637 0.863 1
Nb4 0.981 0.863 0.363 1
S1 0.658 0.500 0.000 1
S2 0.342 0.000 0.500 1
S3 0.108 0.622 0.122 1
S4 0.892 0.878 0.622 1
S5 0.108 0.378 0.878 1
S6 0.892 0.122 0.378 1
S7 0.705 0.433 0.321 1
S8 0.295 0.067 0.821 1
S9 0.705 0.567 0.679 1
S10 0.295 0.933 0.179 1
S11 0.295 0.321 0.567 1
S12 0.705 0.179 0.067 1
S13 0.295 0.679 0.433 1
S14 0.705 0.821 0.933 1
O1 0.206 0.301 0.199 1
O2 0.794 0.199 0.699 1
O3 0.206 0.699 0.801 1
O4 0.794 0.801 0.301 1
O5 0.544 0.434 0.934 1
O6 0.456 0.066 0.434 1
O7 0.544 0.566 0.066 1
O8 0.456 0.934 0.566 1
O9 0.778 0.435 0.065 1
O10 0.222 0.065 0.565 1
O11 0.778 0.565 0.935 1
O12 0.222 0.935 0.435 1
O13 0.926 0.655 0.155 1
O14 0.074 0.845 0.655 1
O15 0.926 0.345 0.845 1
O16 0.074 0.155 0.345 1
O17 0.259 0.674 0.174 1
O18 0.741 0.826 0.674 1
O19 0.259 0.326 0.826 1
O20 0.741 0.174 0.326 1
O21 0.130 0.509 0.140 1
O22 0.870 0.991 0.640 1
O23 0.130 0.491 0.860 1
O24 0.870 0.009 0.360 1
O25 0.870 0.140 0.491 1
O26 0.130 0.360 0.991 1
O27 0.870 0.860 0.509 1
O28 0.130 0.640 0.009 1
O29 0.550 0.367 0.290 1
O30 0.450 0.133 0.790 1
O31 0.550 0.633 0.710 1
O32 0.450 0.867 0.210 1
O33 0.450 0.290 0.633 1
O34 0.550 0.210 0.133 1
O35 0.450 0.710 0.367 1
O36 0.550 0.790 0.867 1
O37 0.674 0.539 0.289 1
O38 0.326 0.961 0.789 1
O39 0.674 0.461 0.711 1
O40 0.326 0.039 0.211 1
O41 0.326 0.289 0.461 1
O42 0.674 0.211 0.961 1
O43 0.326 0.711 0.539 1
O44 0.674 0.789 0.039 1
O45 0.738 0.423 0.431 1
O46 0.262 0.077 0.931 1
O47 0.738 0.577 0.569 1
O48 0.262 0.923 0.069 1
O49 0.262 0.431 0.577 1
O50 0.738 0.069 0.077 1
O51 0.262 0.569 0.423 1
O52 0.738 0.931 0.923 1
O53 0.879 0.394 0.266 1
O54 0.121 0.106 0.766 1
O55 0.879 0.606 0.734 1
O56 0.121 0.894 0.234 1
O57 0.121 0.266 0.606 1
O58 0.879 0.234 0.106 1
O59 0.121 0.734 0.394 1
O60 0.879 0.766 0.894 1
# crystal system = tetragonal
# total magnetization = 4.48 μB per cell
# SG = P-42_1m
# calculated total energy = -6.8126 eV/atom

***

Record 3
# Nd2ScNbO7 (PBE-GGA, relaxed)
data_Nd2ScNbO7
_symmetry_space_group_name_H-M 'P 1'
_symmetry_Int_Tables_number 1
_cell_length_a 7.530
_cell_length_b 7.530
_cell_length_c 7.530
_cell_angle_alpha 120.58
_cell_angle_beta 119.39
_cell_angle_gamma 90.04
loop_
_symmetry_equiv_pos_as_xyz
'x,y,z'
loop_
_atom_site_label
_atom_site_fract_x
_atom_site_fract_y
_atom_site_fract_z
_atom_site_occupancy
Nd1 0.500 0.500 0.500 1
Nd2 0.500 0.000 0.000 1
Nd3 0.500 0.500 0.000 1
Nd4 0.000 0.500 0.500 1
Sc1 0.000 0.000 0.500 1
Sc2 0.000 0.500 0.000 1
Nb1 0.000 0.000 0.000 1
Nb2 0.500 0.000 0.500 1
O1 0.377 0.627 0.750 1
O2 0.623 0.373 0.250 1
O3 0.319 0.069 0.250 1
O4 0.907 0.657 0.250 1
O5 0.340 0.677 0.267 1
O6 0.910 0.074 0.233 1
O7 0.340 0.074 0.664 1
O8 0.910 0.677 0.836 1
O9 0.681 0.931 0.750 1
O10 0.093 0.343 0.750 1
O11 0.660 0.323 0.733 1
O12 0.090 0.926 0.767 1
O13 0.660 0.926 0.336 1
O14 0.090 0.323 0.164 1
# crystal system = orthorhombic
# total magnetization = 0.00 μB per cell
# SG = Imma
# calculated total energy = -8.7308 eV/atom

***

Record 4
# Sr3Nd2Nb10O30 (PBE-GGA, relaxed)
data_Sr3Nd2Nb10O30
_symmetry_space_group_name_H-M 'P 1'
_symmetry_Int_Tables_number 1
_cell_length_a 12.757
_cell_length_b 12.757
_cell_length_c 3.981
_cell_angle_alpha 90.00
_cell_angle_beta 90.00
_cell_angle_gamma 89.54
loop_
_symmetry_equiv_pos_as_xyz
'x,y,z'
loop_
_atom_site_label
_atom_site_fract_x
_atom_site_fract_y
_atom_site_fract_z
_atom_site_occupancy
Sr1 0.342 0.342 0.000 1
Sr2 0.208 0.869 0.000 1
Sr3 0.869 0.208 0.000 1
Nd1 0.515 0.007 0.000 1
Nd2 0.007 0.515 0.000 1
Nb1 0.583 0.215 0.500 1
Nb2 0.428 0.792 0.500 1
Nb3 0.081 0.289 0.500 1
Nb4 0.924 0.717 0.500 1
Nb5 0.289 0.081 0.500 1
Nb6 0.717 0.924 0.500 1
Nb7 0.215 0.583 0.500 1
Nb8 0.792 0.428 0.500 1
Nb9 0.999 0.999 0.500 1
Nb10 0.500 0.500 0.500 1
O1 0.571 0.195 0.000 1
O2 0.419 0.804 0.000 1
O3 0.077 0.296 0.000 1
O4 0.928 0.691 0.000 1
O5 0.296 0.077 0.000 1
O6 0.691 0.928 0.000 1
O7 0.195 0.571 0.000 1
O8 0.804 0.419 0.000 1
O9 0.629 0.063 0.500 1
O10 0.341 0.925 0.500 1
O11 0.113 0.439 0.500 1
O12 0.877 0.554 0.500 1
O13 0.439 0.113 0.500 1
O14 0.554 0.877 0.500 1
O15 0.063 0.629 0.500 1
O16 0.925 0.341 0.500 1
O17 0.722 0.271 0.500 1
O18 0.271 0.722 0.500 1
O19 0.229 0.229 0.500 1
O20 0.789 0.789 0.500 1
O21 0.997 0.155 0.500 1
O22 0.009 0.839 0.500 1
O23 0.480 0.329 0.500 1
O24 0.484 0.649 0.500 1
O25 0.329 0.480 0.500 1
O26 0.649 0.484 0.500 1
O27 0.155 0.997 0.500 1
O28 0.839 0.009 0.500 1
O29 0.998 0.998 0.000 1
O30 0.483 0.483 0.000 1
# crystal system = orthorhombic
# total magnetization = 0.00 μB per cell
# SG = Amm2
# calculated total energy = -8.6241 eV/atom